No. 1
Density functional theory data (PBE-GGA) for a relaxed Th2GaIrAu crystal.

Unit cell a=4.334 b=7.808 c=7.511 alpha=111.28 beta=90.00 gamma=90.00
Positions (direct):
Au1 0.250 0.682 0.319
Au2 0.750 0.318 0.681
Th1 0.750 0.710 0.028
Th2 0.750 0.886 0.640
Th3 0.250 0.114 0.360
Th4 0.250 0.290 0.972
Ir1 0.750 0.123 0.111
Ir2 0.250 0.877 0.889
Ga1 0.750 0.456 0.353
Ga2 0.250 0.544 0.647

Total DFT energy (no corrections) (eV per atom): -6.747
Spin magnetization (μB/cell): 0.00
Energy relative to the elements (eV per formula unit): -3.730
N(E_F) (states/eV/atom): 0.849

***

No. 2
Density functional theory data (PBE-GGA) for a relaxed Th2Ga4IrAu3 crystal.

Unit cell a=4.403 b=4.403 c=10.436 alpha=90.00 beta=90.00 gamma=90.00
Positions (direct):
Ir1 0.500 0.500 0.500
Au1 0.500 0.000 0.866
Au2 0.000 0.000 0.500
Au3 0.000 0.500 0.134
Ga1 0.500 0.000 0.627
Ga2 0.500 0.500 0.000
Ga3 0.000 0.000 0.000
Ga4 0.000 0.500 0.373
Th1 0.500 0.000 0.265
Th2 0.000 0.500 0.735

Total DFT energy (no corrections) (eV per atom): -5.158
Spin magnetization (μB/cell): 0.00
Energy relative to the elements (eV per formula unit): -5.943
N(E_F) (states/eV/atom): 0.656

***

No. 3
Density functional theory data (PBE-GGA) for a relaxed TiGaIrAu crystal.

Unit cell a=4.478 b=4.478 c=4.478 alpha=60.00 beta=60.00 gamma=60.00
Positions (direct):
Ga1 0.750 0.750 0.750
Ir1 0.500 0.500 0.500
Au1 0.000 0.000 0.000
Ti1 0.250 0.250 0.250

Total DFT energy (no corrections) (eV per atom): -6.165
Spin magnetization (μB/cell): 0.00
Energy relative to the elements (eV per formula unit): -1.600
N(E_F) (states/eV/atom): 0.977

***

No. 4
Density functional theory data (PBE-GGA) for a relaxed TmGaIrAu crystal.

Unit cell a=4.686 b=4.686 c=4.686 alpha=60.00 beta=60.00 gamma=60.00
Positions (direct):
Tm1 0.750 0.750 0.750
Ga1 0.250 0.250 0.250
Au1 0.500 0.500 0.500
Ir1 0.000 0.000 0.000

Total DFT energy (no corrections) (eV per atom): -5.435
Spin magnetization (μB/cell): 0.00
Energy relative to the elements (eV per formula unit): -2.102
N(E_F) (states/eV/atom): 0.797

***

No. 5
Density functional theory data (PBE-GGA) for a relaxed ZnGaIrAu crystal.

Unit cell a=4.418 b=4.418 c=4.418 alpha=60.00 beta=60.00 gamma=60.00
Positions (direct):
Ir1 0.250 0.250 0.250
Zn1 0.000 0.000 0.000
Au1 0.750 0.750 0.750
Ga1 0.500 0.500 0.500

Total DFT energy (no corrections) (eV per atom): -4.246
Spin magnetization (μB/cell): 0.00
Energy relative to the elements (eV per formula unit): -0.543
N(E_F) (states/eV/atom): 0.690

***

No. 6
Density functional theory data (PBE-GGA) for a relaxed ZrGaIrAu crystal.

Unit cell a=5.893 b=3.780 c=9.054 alpha=90.00 beta=130.41 gamma=90.00
Positions (direct):
Zr1 0.902 0.000 0.227
Zr2 0.902 0.500 0.727
Au1 0.358 0.500 0.350
Au2 0.358 0.000 0.850
Ir1 0.802 0.500 0.967
Ir2 0.802 0.000 0.467
Ga1 0.242 0.500 0.590
Ga2 0.242 0.000 0.090

Total DFT energy (no corrections) (eV per atom): -6.358
Spin magnetization (μB/cell): 0.00
Relative energy among the computed polymorphs (meV/atom): 102.3
Energy relative to the elements (eV per formula unit): -1.720
N(E_F) (states/eV/atom): 0.494

***

No. 7
Density functional theory data (PBE-GGA) for a relaxed ZrGaIrAu crystal.

Unit cell a=4.628 b=4.628 c=4.628 alpha=60.00 beta=60.00 gamma=60.00
Positions (direct):
Ir1 0.750 0.750 0.750
Ga1 0.500 0.500 0.500
Au1 0.250 0.250 0.250
Zr1 0.000 0.000 0.000

Total DFT energy (no corrections) (eV per atom): -6.389
Spin magnetization (μB/cell): 0.00
Relative energy among the computed polymorphs (meV/atom): 71.9
Energy relative to the elements (eV per formula unit): -1.842
N(E_F) (states/eV/atom): 0.647

***

No. 8
Density functional theory data (PBE-GGA) for a relaxed ZrGaIrAu crystal.

Unit cell a=4.320 b=4.322 c=5.220 alpha=114.44 beta=90.00 gamma=119.98
Positions (direct):
Ir1 0.853 0.573 0.720
Ga1 0.213 0.292 0.800
Au1 0.645 0.158 0.096
Zr1 0.428 0.724 0.446

Total DFT energy (no corrections) (eV per atom): -6.461
Spin magnetization (μB/cell): 0.00
Relative energy among the computed polymorphs (meV/atom): 0.0
Energy relative to the elements (eV per formula unit): -2.130
N(E_F) (states/eV/atom): 0.550

***

No. 9
Density functional theory data (PBE-GGA) for a relaxed ZrGaIrAu crystal.

Unit cell a=4.020 b=3.152 c=11.269 alpha=90.00 beta=90.00 gamma=90.00
Positions (direct):
Zr1 0.500 0.500 0.798
Zr2 0.500 0.000 0.298
Ga1 0.500 0.000 0.039
Ga2 0.500 0.500 0.539
Ir1 0.000 0.500 0.396
Ir2 0.000 0.000 0.896
Au1 0.000 0.000 0.641
Au2 0.000 0.500 0.141

Total DFT energy (no corrections) (eV per atom): -6.380
Spin magnetization (μB/cell): 0.00
Relative energy among the computed polymorphs (meV/atom): 80.8
Energy relative to the elements (eV per formula unit): -1.806
N(E_F) (states/eV/atom): 0.656

***

No. 10
Density functional theory data (PBE-GGA) for a relaxed ZrGaIrAu crystal.

Unit cell a=3.076 b=3.076 c=7.277 alpha=90.00 beta=90.00 gamma=90.00
Positions (direct):
Au1 0.500 0.500 0.711
Ga1 0.000 0.000 0.958
Zr1 0.000 0.000 0.421
Ir1 0.500 0.500 0.162

Total DFT energy (no corrections) (eV per atom): -6.437
Spin magnetization (μB/cell): 0.00
Relative energy among the computed polymorphs (meV/atom): 23.5
Energy relative to the elements (eV per formula unit): -2.036
N(E_F) (states/eV/atom): 0.526

***

No. 11
Density functional theory data (PBE-GGA) for a relaxed ZrGaIrAu crystal.

Unit cell a=3.906 b=3.454 c=11.121 alpha=90.00 beta=90.00 gamma=90.00
Positions (direct):
Ga1 0.000 0.000 0.638
Ga2 0.000 0.500 0.138
Ir1 0.000 0.000 0.870
Ir2 0.000 0.500 0.370
Zr1 0.500 0.000 0.312
Zr2 0.500 0.500 0.812
Au1 0.500 0.500 0.554
Au2 0.500 0.000 0.054

Total DFT energy (no corrections) (eV per atom): -6.338
Spin magnetization (μB/cell): 0.00
Relative energy among the computed polymorphs (meV/atom): 123.2
Energy relative to the elements (eV per formula unit): -1.637
N(E_F) (states/eV/atom): 0.523

***

No. 12
Density functional theory data (PBE-GGA) for a relaxed ZrGaIrAu crystal.

Unit cell a=4.412 b=3.827 c=9.019 alpha=90.00 beta=112.68 gamma=90.00
Positions (direct):
Zr1 0.491 0.500 0.466
Zr2 0.491 0.000 0.966
Ir1 0.692 0.500 0.206
Ir2 0.692 0.000 0.706
Au1 0.006 0.500 0.970
Au2 0.006 0.000 0.470
Ga1 0.177 0.500 0.705
Ga2 0.177 0.000 0.205

Total DFT energy (no corrections) (eV per atom): -6.349
Spin magnetization (μB/cell): 0.00
Relative energy among the computed polymorphs (meV/atom): 111.7
Energy relative to the elements (eV per formula unit): -1.683
N(E_F) (states/eV/atom): 0.564

***

> Which of these has the lowest energy relative to the elements?

Th2Ga4IrAu3

***

> Among the records above, which one has the highest N(E_F)?

TiGaIrAu

***

> What is the total DFT energy (no corrections) in the first record?

-6.747 eV per atom

***

> Number 6 is which compound?

ZrGaIrAu